1.
{"formula": "Hg2MoOs", "functional": "GGA-PBE", "state": "relaxed", "dos_ef_per_ev_fu": 3.760, "relative_energy_mev_per_atom": 520, "space_group": "Pmmm, No. 47", "formation_enthalpy_0k_mev_per_atom": 852, "lattice": [[2.9683, 0.0000, 0.0000], [0.0000, 4.8845, 0.0000], [0.0000, 0.0000, 4.9556]], "species": ["Hg", "Hg", "Mo", "Os"], "fractional_positions": [[0.0000, 0.0000, 0.0000], [0.5000, 0.5000, 0.0000], [0.0000, 0.5000, 0.5000], [0.5000, 0.0000, 0.5000]]}

2.
{"formula": "Hg2MoOs", "functional": "GGA-PBE", "state": "relaxed", "dos_ef_per_ev_fu": 5.257, "relative_energy_mev_per_atom": 616, "space_group": "Pmmm, No. 47", "formation_enthalpy_0k_mev_per_atom": 947, "lattice": [[2.9493, 0.0000, 0.0000], [0.0000, 4.3821, 0.0000], [0.0000, 0.0000, 5.5044]], "species": ["Hg", "Hg", "Mo", "Os"], "fractional_positions": [[0.0000, 0.0000, 0.2492], [0.0000, 0.0000, 0.7508], [0.5000, 0.5000, 0.5000], [0.5000, 0.5000, 0.0000]]}

3.
{"formula": "Hg2MoOs", "functional": "GGA-PBE", "state": "relaxed", "dos_ef_per_ev_fu": 2.809, "relative_energy_mev_per_atom": 487, "space_group": "I-4m2, No. 119", "formation_enthalpy_0k_mev_per_atom": 819, "lattice": [[-2.1172, 2.1172, 3.9291], [2.1172, -2.1172, 3.9291], [2.1172, 2.1172, -3.9291]], "species": ["Hg", "Hg", "Mo", "Os"], "fractional_positions": [[0.0000, 0.0000, 0.0000], [0.7500, 0.2500, 0.5000], [0.2500, 0.7500, 0.5000], [0.5000, 0.5000, 0.0000]]}

4.
{"formula": "Hg2MoOs", "functional": "GGA-PBE", "state": "relaxed", "dos_ef_per_ev_fu": 4.808, "relative_energy_mev_per_atom": 599, "space_group": "I4/mmm, No. 139", "formation_enthalpy_0k_mev_per_atom": 931, "lattice": [[-1.9924, 1.9924, 4.4833], [1.9924, -1.9924, 4.4833], [1.9924, 1.9924, -4.4833]], "species": ["Hg", "Hg", "Mo", "Os"], "fractional_positions": [[0.2500, 0.7500, 0.5000], [0.7500, 0.2500, 0.5000], [0.0000, 0.0000, 0.0000], [0.5000, 0.5000, 0.0000]]}

5.
{"formula": "Hg2MoOs", "functional": "GGA-PBE", "state": "relaxed", "dos_ef_per_ev_fu": 3.672, "relative_energy_mev_per_atom": 231, "space_group": "Cmm2, No. 35", "formation_enthalpy_0k_mev_per_atom": 563, "lattice": [[1.4931, -2.4594, 0.0000], [1.4931, 2.4594, 0.0000], [0.0000, 0.0000, 10.2117]], "species": ["Hg", "Hg", "Mo", "Os"], "fractional_positions": [[0.0000, 0.0000, 0.0000], [0.5000, 0.5000, 0.2865], [0.0000, 0.0000, 0.5414], [0.5000, 0.5000, 0.7439]]}

6.
{"formula": "Hg2MoOs", "functional": "GGA-PBE", "state": "relaxed", "dos_ef_per_ev_fu": 4.784, "relative_energy_mev_per_atom": 465, "space_group": "C2/m, No. 12", "formation_enthalpy_0k_mev_per_atom": 796, "lattice": [[4.8248, -1.4836, 0.0000], [4.8248, 1.4836, 0.0000], [-0.8996, 0.0000, 4.9370]], "species": ["Hg", "Hg", "Mo", "Os"], "fractional_positions": [[0.2488, 0.2488, 0.2485], [0.7512, 0.7512, 0.7515], [0.0000, 0.0000, 0.5000], [0.5000, 0.5000, 0.0000]]}